This record from Alexandria via LeMat-Bulk describes Ac4PrPb5 after structural relaxation. The functional is PBE.

The calculated formation energy is -4.9 eV per formula unit. The calculation puts the size of the total moment at 0.00 μB/cell. For the electronic total energy, the calculation gives -4.468 eV/atom.

The structure belongs to space group P4/mmm (No. 123); the cell edges are 3.832, 3.832 and 23.527 Å and the angles 90.00°, 90.00° and 90.00°. The asymmetric unit holds Ac at (0.000, 0.000, 0.101), Ac at (0.000, 0.000, 0.305), Pr at (0.000, 0.000, 0.500), Pb at (0.500, 0.500, 0.000), Pb at (0.500, 0.500, 0.203) and Pb at (0.500, 0.500, 0.406).


This record from Alexandria via LeMat-Bulk describes AcPr7Pb4 after structural relaxation. The functional is PBE.

The calculated formation energy is -2.0 eV per formula unit. The calculation puts the size of the total moment at 1.42 μB/cell. For the electronic total energy, the calculation gives -4.537 eV/atom.

The structure belongs to space group C2/m (No. 12); the cell edges are 14.146, 6.188 and 11.592 Å and the angles 90.00°, 124.31° and 90.00°. The asymmetric unit holds Ac at (0.000, 0.000, 0.000), Pr at (0.000, 0.500, 0.000), Pr at (0.048, 0.000, 0.371), Pr at (0.178, 0.500, 0.593), Pr at (0.212, 0.000, 0.890), Pb at (0.072, 0.500, 0.769) and Pb at (0.206, 0.500, 0.327).


This record from Alexandria via LeMat-Bulk describes Ac3PrPb6 after structural relaxation. The functional is PBE.

The calculated formation energy is -4.3 eV per formula unit. The calculation puts the size of the total moment at 0.00 μB/cell. For the electronic total energy, the calculation gives -4.366 eV/atom.

The structure belongs to space group R-3c (No. 167, hexagonal axes); the cell edges are 13.4298, 13.4298 and 13.5685 Å and the angles 90.00°, 90.00° and 120.00°. The asymmetric unit holds Ac at (0.0000, 0.4288, 0.2500), Pr at (0.0000, 0.0000, 0.0000) and Pb at (0.0640, 0.2097, 0.3484).


This record from Alexandria via LeMat-Bulk describes AcPr5Pb6 after structural relaxation. The functional is PBE.

The calculated formation energy is -5.8 eV per formula unit. The calculation puts the size of the total moment at 0.00 μB/cell. As for the distance to the lowest polymorph of the same formula: 2.4 kJ per mole of atoms. For the electronic total energy, the calculation gives -4.673 eV/atom.

The structure belongs to space group C2/m (No. 12); the cell edges are 8.900, 16.408 and 6.407 Å and the angles 90.00°, 121.01° and 90.00°. The asymmetric unit holds Ac at (0.000, 0.000, 0.000), Pr at (0.000, 0.151, 0.500), Pr at (0.000, 0.322, 0.000), Pr at (0.000, 0.500, 0.500), Pb at (0.216, 0.500, 0.203) and Pb at (0.228, 0.328, 0.714).


This record from Alexandria via LeMat-Bulk describes Ac2PrPb3 after structural relaxation. The functional is PBE.

The calculated formation energy is -2.9 eV per formula unit. The calculation puts the size of the total moment at 2.07 μB/cell. As for the distance to the lowest polymorph of the same formula: 0.0 kJ per mole of atoms. For the electronic total energy, the calculation gives -4.500 eV/atom.

The structure belongs to space group C2/m (No. 12); the cell edges are 6.092, 18.336 and 7.370 Å and the angles 90.00°, 90.00° and 90.00°. The asymmetric unit holds Ac at (0.000, 0.000, 0.000), Ac at (0.000, 0.000, 0.500), Ac at (0.000, 0.335, 0.000), Pr at (0.000, 0.333, 0.500), Pb at (0.000, 0.170, 0.268) and Pb at (0.001, 0.500, 0.737).


This record from Alexandria via LeMat-Bulk describes Ac8Pr2Pb after structural relaxation. The functional is PBE.

The calculated formation energy is -0.2 eV per formula unit. The calculation puts the size of the total moment at 0.00 μB/cell. For the electronic total energy, the calculation gives -4.212 eV/atom.

The structure belongs to space group C2/m (No. 12); the cell edges are 19.487, 5.978 and 8.590 Å and the angles 90.00°, 111.64° and 90.00°. The asymmetric unit holds Ac at (0.019, 0.000, 0.264), Ac at (0.107, 0.500, 0.938), Ac at (0.166, 0.500, 0.425), Ac at (0.179, 0.000, 0.729), Pr at (0.191, 0.000, 0.159) and Pb at (0.000, 0.500, 0.500).


This record from Alexandria via LeMat-Bulk describes AcPr3Pb2 after structural relaxation. The functional is PBE.

The calculated formation energy is -2.3 eV per formula unit. The calculation puts the size of the total moment at 0.08 μB/cell. For the electronic total energy, the calculation gives -4.691 eV/atom.

The structure belongs to space group C2/m (No. 12); the cell edges are 19.275, 4.886 and 9.975 Å and the angles 90.00°, 114.34° and 90.00°. The asymmetric unit holds Ac at (0.116, 0.000, 0.136), Pr at (0.057, 0.000, 0.687), Pr at (0.145, 0.500, 0.482), Pr at (0.193, 0.500, 0.887), Pb at (0.010, 0.500, 0.847) and Pb at (0.241, 0.000, 0.707).


This record from Alexandria via LeMat-Bulk describes AcPr2Pb2 after structural relaxation. The functional is PBE.

The calculated formation energy is -2.4 eV per formula unit. The calculation puts the size of the total moment at 0.00 μB/cell. As for the distance to the lowest polymorph of the same formula: 0.0 kJ per mole of atoms. For the electronic total energy, the calculation gives -4.704 eV/atom.

The structure belongs to space group P4/mbm (No. 127); the cell edges are 8.844, 8.844 and 4.437 Å and the angles 90.00°, 90.00° and 90.00°. The asymmetric unit holds Ac at (0.000, 0.000, 0.000), Pr at (0.165, 0.335, 0.500) and Pb at (0.133, 0.633, 0.000).


This record from Alexandria via LeMat-Bulk describes Ac2PrPb9 after structural relaxation. The functional is PBE.

The calculated formation energy is -4.8 eV per formula unit. The calculation puts the size of the total moment at 0.00 μB/cell. For the electronic total energy, the calculation gives -4.266 eV/atom.

The structure belongs to space group P4/mmm (No. 123); the cell edges are 5.033, 5.033 and 15.018 Å and the angles 90.00°, 90.00° and 90.00°. The asymmetric unit holds Ac at (0.000, 0.000, 0.170), Pr at (0.000, 0.000, 0.500), Pb at (0.000, 0.500, 0.000), Pb at (0.000, 0.500, 0.339), Pb at (0.500, 0.500, 0.169) and Pb at (0.500, 0.500, 0.500).


This record from Alexandria via LeMat-Bulk describes Ac3PrPb5 after structural relaxation. The functional is PBE.

The calculated formation energy is -4.3 eV per formula unit. The calculation puts the size of the total moment at 0.00 μB/cell. For the electronic total energy, the calculation gives -4.442 eV/atom.

The structure belongs to space group P6_3/mcm (No. 193); the cell edges are 10.1588, 10.1588 and 6.9632 Å and the angles 90.00°, 90.00° and 120.00°. The asymmetric unit holds Ac at (0.0000, 0.3807, 0.2500), Pr at (0.0000, 0.0000, 0.0000), Pb at (0.0000, 0.2839, 0.7500) and Pb at (0.3333, 0.6667, 0.0000).


This record from Alexandria via LeMat-Bulk describes Ac4PrPb4 after structural relaxation. The functional is PBE.

The calculated formation energy is -3.1 eV per formula unit. The calculation puts the size of the total moment at 0.00 μB/cell. For the electronic total energy, the calculation gives -4.348 eV/atom.

The structure belongs to space group P4_2/n (No. 86, origin choice 2); the cell edges are 10.156, 10.156 and 6.923 Å and the angles 90.00°, 90.00° and 90.00°. The asymmetric unit holds Ac at (0.030, 0.672, 0.124), Pr at (0.250, 0.250, 0.250) and Pb at (0.023, 0.649, 0.613).


This record from Alexandria via LeMat-Bulk describes AcPr5Pb6 after structural relaxation. The functional is PBE.

The calculated formation energy is -6.1 eV per formula unit. The calculation puts the size of the total moment at 0.00 μB/cell. As for the distance to the lowest polymorph of the same formula: 0.0 kJ per mole of atoms. For the electronic total energy, the calculation gives -4.698 eV/atom.

The structure belongs to space group Immm (No. 71); the cell edges are 5.172, 9.313 and 15.718 Å and the angles 90.00°, 90.00° and 90.00°. The asymmetric unit holds Ac at (0.000, 0.000, 0.000), Pr at (0.000, 0.000, 0.334), Pr at (0.000, 0.500, 0.000), Pr at (0.000, 0.500, 0.331), Pb at (0.000, 0.245, 0.500) and Pb at (0.000, 0.252, 0.170).